1.
The following is a PBE calculation of an optimized crystal structure of AgGe2Se, from Alexandria.

Cell lengths 6.108, 6.108, 11.456 Å; angles 90.00, 90.00, 90.00 degrees
Positions (direct):
Ag 0.000 0.000 0.000
Ag 0.000 0.500 0.250
Ag 0.500 0.000 0.750
Ag 0.500 0.500 0.500
Ge 0.242 0.250 0.125
Ge 0.250 0.742 0.375
Ge 0.250 0.758 0.875
Ge 0.258 0.250 0.625
Ge 0.742 0.750 0.625
Ge 0.750 0.242 0.875
Ge 0.750 0.258 0.375
Ge 0.758 0.750 0.125
Se 0.000 0.000 0.500
Se 0.000 0.500 0.750
Se 0.500 0.000 0.250
Se 0.500 0.500 0.000

Calculated values
E_form (uncorrected), eV per atom: 0.20
Total magnetic moment, Bohr magnetons per cell: 0.0

=====

2.
The following is a PBE calculation of an optimized crystal structure of KLaRe2, from Alexandria.

Cell lengths 6.968, 6.968, 6.968 Å; angles 90.00, 90.00, 90.00 degrees
Positions (direct):
K 0.000 0.000 0.000
K 0.000 0.500 0.500
K 0.500 0.000 0.500
K 0.500 0.500 0.000
La 0.250 0.250 0.250
La 0.250 0.750 0.750
La 0.750 0.250 0.750
La 0.750 0.750 0.250
Re 0.000 0.000 0.500
Re 0.000 0.500 0.000
Re 0.250 0.250 0.750
Re 0.250 0.750 0.250
Re 0.500 0.000 0.000
Re 0.500 0.500 0.500
Re 0.750 0.250 0.250
Re 0.750 0.750 0.750

Calculated values
Total magnetic moment, Bohr magnetons per cell: 0.0
Energy relative to the lowest polymorph listed for this composition, meV per atom: 843

=====

3.
The following is a PBE calculation of an optimized crystal structure of MgAlAg2, from Alexandria.

Cell lengths 6.578, 6.578, 6.578 Å; angles 90.00, 90.00, 90.00 degrees
Positions (direct):
Mg 0.000 0.000 0.000
Mg 0.000 0.500 0.500
Mg 0.500 0.000 0.500
Mg 0.500 0.500 0.000
Al 0.250 0.250 0.250
Al 0.250 0.750 0.750
Al 0.750 0.250 0.750
Al 0.750 0.750 0.250
Ag 0.000 0.000 0.500
Ag 0.000 0.500 0.000
Ag 0.250 0.250 0.750
Ag 0.250 0.750 0.250
Ag 0.500 0.000 0.000
Ag 0.500 0.500 0.500
Ag 0.750 0.250 0.250
Ag 0.750 0.750 0.750

Calculated values
Total magnetic moment, Bohr magnetons per cell: 0.0
Energy relative to the lowest polymorph listed for this composition, meV per atom: 129

=====

4.
The following is a PBE calculation of an optimized crystal structure of LiCa2BePb, from Alexandria.

Cell lengths 5.844, 5.844, 4.906 Å; angles 90.00, 90.00, 90.00 degrees
Positions (direct):
Li 0.000 0.000 0.000
Ca 0.000 0.500 0.000
Ca 0.500 0.000 0.000
Be 0.500 0.500 0.500
Pb 0.000 0.000 0.500

Calculated values
Electronic total energy, eV per atom: -2.216
Total magnetic moment, Bohr magnetons per cell: 0.0

=====

5.
The following is a PBE calculation of an optimized crystal structure of RbEuPt4, from Alexandria.

Cell lengths 5.566, 5.566, 5.566 Å; angles 60.00, 60.00, 60.00 degrees
Positions (direct):
Rb 0.000 0.000 0.000
Eu 0.250 0.250 0.250
Pt 0.126 0.625 0.625
Pt 0.625 0.126 0.625
Pt 0.625 0.625 0.126
Pt 0.625 0.625 0.625

Calculated values
Electronic total energy, eV per atom: -6.412
Total magnetic moment, Bohr magnetons per cell: 6.7

=====

6.
The following is a PBE calculation of an optimized crystal structure of BaLa2Cl6, from Alexandria.

Cell lengths 9.454, 9.454, 6.947 Å; angles 105.09, 105.09, 60.73 degrees
Positions (direct):
Ba 0.235 0.765 0.750
Ba 0.765 0.235 0.250
La 0.242 0.261 0.008
La 0.261 0.242 0.508
La 0.739 0.758 0.492
La 0.758 0.739 0.992
Cl 0.042 0.163 0.650
Cl 0.052 0.548 0.772
Cl 0.163 0.042 0.150
Cl 0.327 0.467 0.371
Cl 0.452 0.948 0.728
Cl 0.467 0.327 0.871
Cl 0.533 0.673 0.129
Cl 0.548 0.052 0.272
Cl 0.673 0.533 0.629
Cl 0.837 0.958 0.850
Cl 0.948 0.452 0.228
Cl 0.958 0.837 0.350

Calculated values
E_form (uncorrected), eV per atom: -2.22
Total magnetic moment, Bohr magnetons per cell: 0.0

=====

7.
The following is a PBE calculation of an optimized crystal structure of HfIBr, from Alexandria.

Cell lengths 5.024, 5.391, 7.368 Å; angles 99.43, 90.45, 100.69 degrees
Positions (direct):
Hf 0.000 0.000 0.000
Hf 0.079 0.583 0.255
I 0.184 0.950 0.618
I 0.819 0.433 0.886
Br 0.464 0.905 0.105
Br 0.588 0.491 0.381

Calculated values
E_form (uncorrected), eV per atom: -0.45
Total magnetic moment, Bohr magnetons per cell: 0.0
Energy relative to the lowest polymorph listed for this composition, meV per atom: 463

=====

8.
The following is a PBE calculation of an optimized crystal structure of Rb2LiTl10, from Alexandria.

Cell lengths 11.448, 11.947, 7.337 Å; angles 90.00, 90.00, 90.00 degrees
Positions (direct):
Rb 0.211 0.073 0.000
Rb 0.289 0.573 0.000
Rb 0.711 0.427 0.000
Rb 0.789 0.927 0.000
Li 0.000 0.500 0.500
Li 0.500 0.000 0.500
Tl 0.037 0.135 0.500
Tl 0.046 0.351 0.210
Tl 0.046 0.351 0.790
Tl 0.177 0.675 0.500
Tl 0.249 0.920 0.500
Tl 0.251 0.420 0.500
Tl 0.323 0.175 0.500
Tl 0.454 0.851 0.210
Tl 0.454 0.851 0.790
Tl 0.463 0.635 0.500
Tl 0.537 0.365 0.500
Tl 0.546 0.149 0.210
Tl 0.546 0.149 0.790
Tl 0.677 0.825 0.500
Tl 0.749 0.580 0.500
Tl 0.751 0.080 0.500
Tl 0.823 0.325 0.500
Tl 0.954 0.649 0.210
Tl 0.954 0.649 0.790
Tl 0.963 0.865 0.500

Calculated values
Electronic total energy, eV per atom: -2.114
Total magnetic moment, Bohr magnetons per cell: 0.0

=====

9.
The following is a PBE calculation of an optimized crystal structure of AgPd5Pb6, from Alexandria.

Cell lengths 6.273, 6.273, 8.241 Å; angles 96.77, 96.77, 119.63 degrees
Positions (direct):
Ag 0.000 0.000 0.000
Pd 0.124 0.876 0.500
Pd 0.275 0.725 0.000
Pd 0.500 0.500 0.500
Pd 0.725 0.275 0.000
Pd 0.876 0.124 0.500
Pb 0.098 0.461 0.286
Pb 0.307 0.307 0.795
Pb 0.461 0.098 0.286
Pb 0.539 0.902 0.714
Pb 0.693 0.693 0.205
Pb 0.902 0.539 0.714

Calculated values
Electronic total energy, eV per atom: -4.345
Total magnetic moment, Bohr magnetons per cell: 0.0

=====

10.
The following is a PBE calculation of an optimized crystal structure of Ti6Pb2C, from Alexandria.

Cell lengths 7.234, 7.234, 3.407 Å; angles 90.00, 90.00, 120.00 degrees
Positions (direct):
Ti 0.000 0.216 0.000
Ti 0.000 0.653 0.500
Ti 0.216 0.000 0.000
Ti 0.347 0.347 0.500
Ti 0.653 0.000 0.500
Ti 0.784 0.784 0.000
Pb 0.333 0.667 0.000
Pb 0.667 0.333 0.000
C 0.000 0.000 0.500

Calculated values
Total magnetic moment, Bohr magnetons per cell: 0.0
Energy relative to the lowest polymorph listed for this composition, meV per atom: 68

=====

11.
The following is a PBE calculation of an optimized crystal structure of Np4MnSn8, from Alexandria.

Cell lengths 4.469, 4.626, 15.734 Å; angles 90.00, 90.00, 90.00 degrees
Positions (direct):
Np 0.000 0.000 0.000
Np 0.000 0.500 0.485
Np 0.500 0.000 0.801
Np 0.500 0.500 0.313
Mn 0.000 0.500 0.694
Sn 0.000 0.000 0.329
Sn 0.000 0.000 0.633
Sn 0.000 0.500 0.153
Sn 0.000 0.500 0.852
Sn 0.500 0.000 0.159
Sn 0.500 0.000 0.468
Sn 0.500 0.500 0.630
Sn 0.500 0.500 0.979

Calculated values
Electronic total energy, eV per atom: -7.106
Total magnetic moment, Bohr magnetons per cell: 17.2

=====

12.
The following is a PBE calculation of an optimized crystal structure of Cu2ReF, from Alexandria.

Cell lengths 5.973, 5.973, 5.973 Å; angles 90.00, 90.00, 90.00 degrees
Positions (direct):
Cu 0.250 0.250 0.250
Cu 0.250 0.250 0.750
Cu 0.250 0.750 0.250
Cu 0.250 0.750 0.750
Cu 0.750 0.250 0.250
Cu 0.750 0.250 0.750
Cu 0.750 0.750 0.250
Cu 0.750 0.750 0.750
Re 0.000 0.000 0.000
Re 0.000 0.500 0.500
Re 0.500 0.000 0.500
Re 0.500 0.500 0.000
F 0.000 0.000 0.500
F 0.000 0.500 0.000
F 0.500 0.000 0.000
F 0.500 0.500 0.500

Calculated values
E_form (uncorrected), eV per atom: 0.74
Total magnetic moment, Bohr magnetons per cell: 8.9
Energy relative to the lowest polymorph listed for this composition, meV per atom: 245